Computed, not measured: crystalline Tm2IrBr at its relaxed geometry at the GGA-PBE level of DFT.

Properties
**ΔE to the lowest computed polymorph**: 0.725 eV/f.u.
**VASP energy**: -0.213 hartree per atom
**Raw formation energy**: -924 meV/atom

Lattice parameters (Å, degrees): 3.389 3.389 8.151 90.00 90.00 90.00
Fractional coordinates of all 4 atoms:
Br1 0.500 0.500 0.500
Tm1 0.000 0.000 0.798
Ir1 0.500 0.500 0.000
Tm2 0.000 0.000 0.202

Computed, not measured: crystalline RuC at its relaxed geometry at the GGA-PBE level of DFT.

Properties
**ΔE to the lowest computed polymorph**: 1.982 eV/f.u.
**VASP energy**: -0.290 hartree per atom
**ΔH_f (0 K)**: 1357 meV/atom

Lattice parameters (Å, degrees): 4.364 4.364 5.458 90.00 90.00 120.00
Fractional coordinates of all 8 atoms:
C1 0.333 0.667 0.371
C2 0.333 0.667 0.129
Ru1 0.000 0.000 0.250
C3 0.667 0.333 0.629
Ru2 0.333 0.667 0.750
C4 0.667 0.333 0.871
Ru3 0.667 0.333 0.250
Ru4 0.000 0.000 0.750

Computed, not measured: crystalline Ta2P at its relaxed geometry at the GGA-PBE level of DFT.

Properties
**VASP energy**: -0.376 hartree per atom
**ΔH_f (0 K)**: -534 meV/atom

Lattice parameters (Å, degrees): 5.104 5.104 6.879 60.88 60.88 38.94
Fractional coordinates of all 6 atoms:
Ta1 0.839 0.839 0.564
Ta2 0.424 0.424 0.854
P1 0.149 0.149 0.831
Ta3 0.161 0.161 0.436
P2 0.851 0.851 0.169
Ta4 0.576 0.576 0.146

Computed, not measured: crystalline Pr6Bi5I at its relaxed geometry at the GGA-PBE level of DFT.

Properties
**VASP energy**: -0.188 hartree per atom
**Raw formation energy**: -978 meV/atom

Lattice parameters (Å, degrees): 8.047 8.047 8.029 99.59 99.59 120.00
Fractional coordinates of all 12 atoms:
Bi1 0.500 0.500 0.500
Pr1 0.914 0.567 0.742
Pr2 0.261 0.261 0.745
Bi2 0.668 0.332 0.000
Pr3 0.433 0.086 0.258
Pr4 0.086 0.433 0.258
Pr5 0.567 0.914 0.742
Pr6 0.739 0.739 0.255
Bi3 0.332 0.668 0.000
Bi4 0.162 0.838 0.500
Bi5 0.838 0.162 0.500
I1 0.000 0.000 0.000

Computed, not measured: crystalline Ac2Zn4Ga3Au at its relaxed geometry at the GGA-PBE level of DFT.

Properties
**VASP energy**: -0.112 hartree per atom
**ΔH_f (0 K)**: -479 meV/atom

Lattice parameters (Å, degrees): 4.507 4.507 10.543 90.00 90.00 90.00
Fractional coordinates of all 10 atoms:
Ac1 0.000 0.500 0.752
Ac2 0.500 0.000 0.248
Au1 0.500 0.500 0.500
Ga1 0.000 0.000 0.500
Zn1 0.500 0.500 0.000
Ga2 0.000 0.500 0.129
Ga3 0.500 0.000 0.871
Zn2 0.000 0.500 0.370
Zn3 0.500 0.000 0.630
Zn4 0.000 0.000 0.000

Computed, not measured: crystalline Cs2KSr2 at its relaxed geometry at the GGA-PBE level of DFT.

Properties
**ΔE to the lowest computed polymorph**: 0.216 eV/f.u.
**VASP energy**: -0.036 hartree per atom
**ΔH_f (0 K)**: 257 meV/atom

Lattice parameters (Å, degrees): 13.171 13.171 4.753 90.00 90.00 90.00
Fractional coordinates of all 10 atoms:
Cs1 0.864 0.636 0.000
K1 0.000 0.000 0.000
Cs2 0.364 0.864 0.000
Sr1 0.161 0.661 0.500
Cs3 0.136 0.364 0.000
Sr2 0.339 0.161 0.500
Sr3 0.839 0.339 0.500
Sr4 0.661 0.839 0.500
K2 0.500 0.500 0.000
Cs4 0.636 0.136 0.000

Number 1: ρ 10.82 g cm⁻³. Number 2: ρ 8.34 g cm⁻³. Number 3: ρ 13.52 g cm⁻³. Number 4: ρ 7.89 g cm⁻³. Number 5: ρ 8.70 g cm⁻³. Number 6: ρ 1.93 g cm⁻³.